# 1
The following is a DFT calculation (PBE) of crystalline YLuZn at its relaxed geometry.

Values from the calculation:
The space group is P3m1, No. 156. The calculation puts the formation energy at -5.2 kJ per mole of atoms. For the magnetization, the calculation gives 0.00 μB per formula unit. The value obtained for the total energy is -4.14 eV/atom.

abc: 4.955 4.955 3.610
angles: 90.00 90.00 120.00
Sites, in units of the cell vectors:
Y1 0.000 0.000 0.000
Lu1 0.333 0.667 0.531
Zn1 0.667 0.333 0.340

***

# 2
The following is a DFT calculation (PBE) of crystalline Y2LuZn at its relaxed geometry.

Values from the calculation:
The space group is R-3m, No. 166. The calculation puts the formation energy at 25.4 kJ per mole of atoms. For the magnetization, the calculation gives 0.00 μB per formula unit. The distance to the lowest polymorph of the same formula is 1.68 eV/f.u. The value obtained for the total energy is -4.42 eV/atom.

abc: 11.891 11.891 11.891
angles: 16.67 16.67 16.67
Sites, in units of the cell vectors:
Y1 0.087 0.087 0.087
Y2 0.913 0.913 0.913
Lu1 0.500 0.500 0.500
Zn1 0.000 0.000 0.000

***

# 3
The following is a DFT calculation (PBE) of crystalline YLu2Zr at its relaxed geometry.

Values from the calculation:
The space group is P4/mmm, No. 123. The calculation puts the formation energy at 14.8 kJ per mole of atoms. For the magnetization, the calculation gives 0.05 μB per formula unit. The distance to the lowest polymorph of the same formula is 0.32 eV/f.u. The value obtained for the total energy is -5.86 eV/atom.

abc: 3.930 3.930 7.360
angles: 90.00 90.00 90.00
Sites, in units of the cell vectors:
Y1 0.000 0.000 0.000
Lu1 0.500 0.500 0.278
Lu2 0.500 0.500 0.722
Zr1 0.000 0.000 0.500

***

magnetization of number 3 (YLu2Zr)?
0.05 μB per formula unit

***

Copy entry 2 word for word.
The following is a DFT calculation (PBE) of crystalline Y2LuZn at its relaxed geometry.

Values from the calculation:
The space group is R-3m, No. 166. The calculation puts the formation energy at 25.4 kJ per mole of atoms. For the magnetization, the calculation gives 0.00 μB per formula unit. The distance to the lowest polymorph of the same formula is 1.68 eV/f.u. The value obtained for the total energy is -4.42 eV/atom.

abc: 11.891 11.891 11.891
angles: 16.67 16.67 16.67
Sites, in units of the cell vectors:
Y1 0.087 0.087 0.087
Y2 0.913 0.913 0.913
Lu1 0.500 0.500 0.500
Zn1 0.000 0.000 0.000

***

magnetization of number 2 (Y2LuZn)?
0.00 μB per formula unit